(1)
YCr2Ru | PBE | relaxed

DFT formation energy ... 268 kJ/mol of formula units
Space group ... I-42d
Relative energy among the computed polymorphs ... 451 meV per atom

Cell lengths 5.7801, 5.7801, 5.7801 Å; angles 103.04, 103.04, 123.27 degrees
Positions (direct):
1 Y 0.0000 0.0000 0.0000
2 Y 0.7500 0.2500 0.5000
3 Cr 0.1838 0.6250 0.0588
4 Cr 0.3750 0.4338 0.5588
5 Cr 0.5662 0.1250 0.9412
6 Cr 0.8750 0.8162 0.4412
7 Ru 0.2500 0.7500 0.5000
8 Ru 0.5000 0.5000 0.0000

(2)
YCr2Ru | PBE | relaxed

DFT formation energy ... 164 kJ/mol of formula units
Space group ... Pmmm
Relative energy among the computed polymorphs ... 182 meV per atom

Cell lengths 2.9941, 3.9075, 5.9079 Å; angles 90.00, 90.00, 90.00 degrees
Positions (direct):
1 Y 0.0000 0.0000 0.0000
2 Cr 0.5000 0.5000 0.3359
3 Cr 0.5000 0.5000 0.6641
4 Ru 0.0000 0.0000 0.5000

(3)
YCr2Ru | PBE | relaxed

DFT formation energy ... 183 kJ/mol of formula units
Space group ... Fm-3m
Relative energy among the computed polymorphs ... 232 meV per atom

Cell lengths 4.4227, 4.4227, 4.4227 Å; angles 60.00, 60.00, 60.00 degrees
Positions (direct):
1 Y 0.0000 0.0000 0.0000
2 Cr 0.2500 0.2500 0.2500
3 Cr 0.7500 0.7500 0.7500
4 Ru 0.5000 0.5000 0.5000

(4)
Zn2CrRu | PBE | relaxed

DFT formation energy ... 46 kJ/mol of formula units
Space group ... P4/mmm
Relative energy among the computed polymorphs ... 127 meV per atom

Cell lengths 3.7866, 3.7866, 3.9162 Å; angles 90.00, 90.00, 90.00 degrees
Positions (direct):
1 Zn 0.0000 0.5000 0.0000
2 Zn 0.5000 0.0000 0.0000
3 Cr 0.0000 0.0000 0.5000
4 Ru 0.5000 0.5000 0.5000

(5)
ZnCrRu3 | PBE | relaxed

DFT formation energy ... 555 kJ/mol of formula units
Space group ... Pm-3m
Relative energy among the computed polymorphs ... 0 meV per atom

Cell lengths 4.4083, 4.4083, 4.4083 Å; angles 90.00, 90.00, 90.00 degrees
Positions (direct):
1 Zn 0.0000 0.0000 0.0000
2 Cr 0.5000 0.5000 0.5000
3 Ru 0.0000 0.5000 0.5000
4 Ru 0.5000 0.0000 0.5000
5 Ru 0.5000 0.5000 0.0000

(6)
Zn2CrRu | PBE | relaxed

DFT formation energy ... 39 kJ/mol of formula units
Space group ... Pmm2
Relative energy among the computed polymorphs ... 109 meV per atom

Cell lengths 2.7665, 4.1759, 4.6897 Å; angles 90.00, 90.00, 90.00 degrees
Positions (direct):
1 Zn 0.0000 0.0000 0.0000
2 Zn 0.0000 0.5000 0.2884
3 Cr 0.5000 0.5000 0.7747
4 Ru 0.5000 0.0000 0.5169

(7)
Zn2CrRu | PBE | relaxed

DFT formation energy ... 53 kJ/mol of formula units
Space group ... Pmmm
Relative energy among the computed polymorphs ... 143 meV per atom

Cell lengths 3.0645, 4.1472, 4.2945 Å; angles 90.00, 90.00, 90.00 degrees
Positions (direct):
1 Zn 0.0000 0.0000 0.0000
2 Zn 0.5000 0.5000 0.0000
3 Cr 0.0000 0.5000 0.5000
4 Ru 0.5000 0.0000 0.5000

(8)
ZnCrRu3 | PBE | relaxed

DFT formation energy ... 887 kJ/mol of formula units
Space group ... Pm-3m
Relative energy among the computed polymorphs ... 688 meV per atom

Cell lengths 4.4004, 4.4004, 4.4004 Å; angles 90.00, 90.00, 90.00 degrees
Positions (direct):
1 Zn 0.0000 0.0000 0.0000
2 Cr 0.5000 0.5000 0.5000
3 Ru 0.0000 0.0000 0.5000
4 Ru 0.0000 0.5000 0.0000
5 Ru 0.5000 0.0000 0.0000

(9)
Zn2CrRu | PBE | relaxed

DFT formation energy ... 26 kJ/mol of formula units
Space group ... R3m
Relative energy among the computed polymorphs ... 74 meV per atom

Cell lengths 9.0536, 9.0536, 9.0536 Å; angles 17.02, 17.02, 17.02 degrees
Positions (direct):
1 Zn 0.0000 0.0000 0.0000
2 Zn 0.2408 0.2408 0.2408
3 Cr 0.4926 0.4926 0.4926
4 Ru 0.7526 0.7526 0.7526

(10)
Zn2CrRu | PBE | relaxed

DFT formation energy ... 75 kJ/mol of formula units
Space group ... P2/m
Relative energy among the computed polymorphs ... 202 meV per atom

Cell lengths 2.6147, 4.2871, 4.9792 Å; angles 90.00, 102.21, 90.00 degrees
Positions (direct):
1 Zn 0.2405 0.0000 0.2489
2 Zn 0.7595 0.0000 0.7511
3 Cr 0.5000 0.5000 0.0000
4 Ru 0.0000 0.5000 0.5000

(11)
Zn2CrRu | PBE | relaxed

DFT formation energy ... 38 kJ/mol of formula units
Space group ... Cm
Relative energy among the computed polymorphs ... 106 meV per atom

Cell lengths 4.5195, 4.5195, 4.6138 Å; angles 100.33, 100.33, 36.33 degrees
Positions (direct):
1 Zn 0.0000 0.0000 0.0000
2 Zn 0.2464 0.2464 0.7908
3 Cr 0.4943 0.4943 0.4888
4 Ru 0.7518 0.7518 0.3049

(12)
Zn2CrRu | PBE | relaxed

DFT formation energy ... 100 kJ/mol of formula units
Space group ... P4/mmm
Relative energy among the computed polymorphs ... 265 meV per atom

Cell lengths 2.5964, 2.5964, 8.0173 Å; angles 90.00, 90.00, 90.00 degrees
Positions (direct):
1 Zn 0.0000 0.0000 0.2464
2 Zn 0.0000 0.0000 0.7536
3 Cr 0.5000 0.5000 0.0000
4 Ru 0.5000 0.5000 0.5000

(13)
Zn2CrRu | PBE | relaxed

DFT formation energy ... 248 kJ/mol of formula units
Space group ... I-42d
Relative energy among the computed polymorphs ... 649 meV per atom

Cell lengths 5.4417, 5.4417, 5.4417 Å; angles 102.00, 102.00, 125.75 degrees
Positions (direct):
1 Zn 0.1204 0.1250 0.4954
2 Zn 0.3750 0.8796 0.0046
3 Zn 0.6296 0.6250 0.5046
4 Zn 0.8750 0.3704 0.9954
5 Cr 0.0000 0.0000 0.0000
6 Cr 0.7500 0.2500 0.5000
7 Ru 0.2500 0.7500 0.5000
8 Ru 0.5000 0.5000 0.0000

(14)
ZnCr4Ru | PBE | relaxed

DFT formation energy ... 83 kJ/mol of formula units
Space group ... F-43m

Cell lengths 4.7387, 4.7387, 4.7387 Å; angles 60.00, 60.00, 60.00 degrees
Positions (direct):
1 Zn 0.0000 0.0000 0.0000
2 Cr 0.1198 0.6267 0.6267
3 Cr 0.6267 0.1198 0.6267
4 Cr 0.6267 0.6267 0.1198
5 Cr 0.6267 0.6267 0.6267
6 Ru 0.2500 0.2500 0.2500

(15)
ZnCrRu | PBE | relaxed

DFT formation energy ... 63 kJ/mol of formula units
Space group ... Fmm2
Relative energy among the computed polymorphs ... 209 meV per atom

Cell lengths 6.8773, 6.6755, 2.6056 Å; angles 83.31, 74.59, 22.10 degrees
Positions (direct):
1 Zn 0.0000 0.0000 0.0000
2 Cr 0.3316 0.3316 0.6684
3 Ru 0.6770 0.6770 0.3230

(16)
ZnCrRu | PBE | relaxed

DFT formation energy ... 3 kJ/mol of formula units
Space group ... I4mm
Relative energy among the computed polymorphs ... 0 meV per atom

Cell lengths 5.0050, 5.0050, 5.0050 Å; angles 145.62, 145.62, 49.41 degrees
Positions (direct):
1 Zn 0.0000 0.0000 0.0000
2 Cr 0.3270 0.3270 0.0000
3 Ru 0.6839 0.6839 0.0000

(17)
Zn2CrRu | PBE | relaxed

DFT formation energy ... 61 kJ/mol of formula units
Space group ... P4/mmm
Relative energy among the computed polymorphs ... 165 meV per atom

Cell lengths 3.1734, 3.1734, 5.6327 Å; angles 90.00, 90.00, 90.00 degrees
Positions (direct):
1 Zn 0.0000 0.0000 0.2424
2 Zn 0.0000 0.0000 0.7576
3 Cr 0.5000 0.5000 0.5000
4 Ru 0.5000 0.5000 0.0000

(18)
Zn2CrRu | PBE | relaxed

DFT formation energy ... 86 kJ/mol of formula units
Space group ... R-3m
Relative energy among the computed polymorphs ... 229 meV per atom

Cell lengths 8.8437, 8.8437, 8.8437 Å; angles 17.48, 17.48, 17.48 degrees
Positions (direct):
1 Zn 0.2503 0.2503 0.2503
2 Zn 0.7497 0.7497 0.7497
3 Cr 0.0000 0.0000 0.0000
4 Ru 0.5000 0.5000 0.5000

(19)
Zn2CrRu | PBE | relaxed

DFT formation energy ... 64 kJ/mol of formula units
Space group ... Cmm2
Relative energy among the computed polymorphs ... 172 meV per atom

Cell lengths 2.6337, 2.6337, 8.7671 Å; angles 90.00, 90.00, 114.79 degrees
Positions (direct):
1 Zn 0.0000 0.0000 0.0000
2 Zn 0.5000 0.5000 0.2629
3 Cr 0.5000 0.5000 0.7519
4 Ru 0.0000 0.0000 0.5224

(20)
ZnCrRu | PBE | relaxed

DFT formation energy ... 14 kJ/mol of formula units
Space group ... P-1
Relative energy among the computed polymorphs ... 37 meV per atom

Cell lengths 2.7360, 3.8388, 7.7908 Å; angles 89.90, 79.90, 89.98 degrees
Positions (direct):
1 Zn 0.2107 0.2500 0.0807
2 Zn 0.7893 0.7500 0.9193
3 Cr 0.0398 0.2493 0.4176
4 Cr 0.9602 0.7507 0.5824
5 Ru 0.3943 0.2503 0.7122
6 Ru 0.6057 0.7497 0.2878